one | ## CaNi3W (PBE-GGA)

Data for a relaxed CaNi3W crystal.

Lattice parameters (Å, degrees): 4.6066 4.6066 4.6066 90.00 90.00 90.00
With the nearest neighbours (Å) after each atom.
Positions (direct):
Ca 0.5000 0.5000 0.5000  12 Ni 3.26
W 0.0000 0.0000 0.0000  6 Ni 2.30
Ni 0.0000 0.5000 0.0000  2 W 2.30
Ni 0.0000 0.0000 0.5000  2 W 2.30
Ni 0.5000 0.0000 0.0000  2 W 2.30


two | ## CaNi3W (PBE-GGA)

Data for a relaxed CaNi3W crystal.

Lattice parameters (Å, degrees): 4.3674 4.3674 4.3674 90.00 90.00 90.00
With the nearest neighbours (Å) after each atom.
Positions (direct):
Ni 0.5000 0.0000 0.0000  2 Ca 2.18
Ni 0.0000 0.5000 0.0000  2 Ca 2.18
W 0.5000 0.5000 0.5000  12 Ni 3.09
Ca 0.0000 0.0000 0.0000  6 Ni 2.18
Ni 0.0000 0.0000 0.5000  2 Ca 2.18


Least stable of them? two.


one | ## CaYNi (PBE-GGA)

Data for a relaxed CaYNi crystal.

Lattice parameters (Å, degrees): 6.8423 6.8436 3.4782 75.26 75.30 29.45
With the nearest neighbours (Å) after each atom.
Positions (direct):
Ni 0.3212 0.3212 0.6788  4 Y 2.83, 4 Ca 3.09
Y 0.7113 0.7113 0.2887  4 Ni 2.83
Ca 0.9674 0.9674 0.0326  4 Ni 3.09, 1 Y 3.27


two | ## CaYNi (PBE-GGA)

Data for a relaxed CaYNi crystal.

Lattice parameters (Å, degrees): 3.7349 6.9149 7.4631 117.67 104.53 89.99
With the nearest neighbours (Å) after each atom.
Positions (direct):
Ni 0.0059 0.4297 0.1300  1 Ni 2.55, 4 Y 2.79
Ni 0.8047 0.2287 0.7283  1 Ni 2.55, 4 Y 2.79-2.80
Ca 0.1297 0.0541 0.3784  2 Ni 2.90
Ca 0.6809 0.6045 0.4799  2 Ni 2.90
Y 0.4053 0.0916 0.9288  4 Ni 2.79
Y 0.4053 0.5670 0.9295  4 Ni 2.79-2.80


three | ## CaYNi (PBE-GGA)

Data for a relaxed CaYNi crystal.

Lattice parameters (Å, degrees): 3.9230 3.9230 6.5357 90.00 90.00 120.00
With the nearest neighbours (Å) after each atom.
Positions (direct):
Ni 0.6667 0.3333 0.3485  3 Y 2.67, 3 Ca 2.84
Y 0.3333 0.6667 0.5649  3 Ni 2.67
Ca 0.0000 0.0000 0.0867  3 Ni 2.84


Least stable of them? three.


one | ## CaYNi (PBE-GGA)

Data for a relaxed CaYNi crystal.

Lattice parameters (Å, degrees): 4.8083 4.8083 4.8083 60.00 60.00 60.00
With the nearest neighbours (Å) after each atom.
Positions (direct):
Y 0.0000 0.0000 0.0000  4 Ni 2.94
Ca 0.5000 0.5000 0.5000  4 Ni 2.94
Ni 0.7500 0.7500 0.7500  4 Y 2.94, 4 Ca 2.94


two | ## CaYNi (PBE-GGA)

Data for a relaxed CaYNi crystal.

Lattice parameters (Å, degrees): 3.9855 5.6057 7.6630 99.78 105.07 90.00
With the nearest neighbours (Å) after each atom.
Positions (direct):
Ni 0.2350 0.8616 0.4700  2 Ni 2.52, 2 Y 2.77
Ca 0.4151 0.2086 0.8301  3 Ni 2.96-3.01
Ni 0.7650 0.1384 0.5300  2 Ni 2.52, 2 Y 2.77
Y 0.8319 0.6734 0.6639  4 Ni 2.77-2.99
Y 0.1681 0.3266 0.3361  4 Ni 2.77-2.99
Ca 0.5849 0.7914 0.1699  3 Ni 2.96-3.01


Least stable of them? one.


one | ## CaY3Ni (PBE-GGA)

Data for a relaxed CaY3Ni crystal.

Lattice parameters (Å, degrees): 5.3986 5.3986 5.3986 90.00 90.00 90.00
With the nearest neighbours (Å) after each atom.
Positions (direct):
Y 0.0000 0.5000 0.0000  2 Ni 2.70
Ca 0.5000 0.5000 0.5000  12 Y 3.82
Ni 0.0000 0.0000 0.0000  6 Y 2.70
Y 0.5000 0.0000 0.0000  2 Ni 2.70
Y 0.0000 0.0000 0.5000  2 Ni 2.70


two | ## CaY3Ni (PBE-GGA)

Data for a relaxed CaY3Ni crystal.

Lattice parameters (Å, degrees): 5.4183 5.4183 5.4183 90.00 90.00 90.00
With the nearest neighbours (Å) after each atom.
Positions (direct):
Y 0.0000 0.5000 0.0000  2 Ca 2.71
Y 0.5000 0.0000 0.0000  2 Ca 2.71
Y 0.0000 0.0000 0.5000  2 Ca 2.71
Ni 0.5000 0.5000 0.5000  12 Y 3.83
Ca 0.0000 0.0000 0.0000  6 Y 2.71


Least stable of them? two.